First-principles (PBE) data for an optimized crystal structure of NaAcAu4, as listed in the Alexandria database.

abc: 9.2713 5.5870 5.7377
angles: 90.00 95.95 90.00
Closest atoms and distances in Å follow each position.
Space group C2/m (No. 12)
Asymmetric unit:
Na1 0.0000 0.0000 0.0000 x2  10 Au 3.15-3.30
Ac1 0.0000 0.5000 0.5000 x2  10 Au 3.15-3.24
Au1 0.1587 0.0000 0.5411 x4  2 Au 2.85-2.93, 1 Na 3.15, 2 Ac 3.15
Au2 0.1614 0.5000 0.0255 x4  2 Au 2.85-2.98, 3 Na 3.16-3.17

As for the total energy: -3.55 eV/atom. As for the energy above the most stable polymorph in this dataset: 0.035 eV per atom. The formation enthalpy at 0 K is -44 kJ per mole of atoms. Its density of states at the Fermi level is 2.34 states/eV/f.u.